Run i
# Li2AcRh2, relaxed, DFT PBE-GGA
# volume = 91.8 Å³ per cell
data_Li2AcRh2
_space_group_name_H-M_alt 'P 1'
_space_group_IT_number 1
_cell_length_a 5.4726
_cell_length_b 5.4726
_cell_length_c 5.4726
_cell_angle_alpha 130.81
_cell_angle_beta 130.81
_cell_angle_gamma 72.11
loop_
_space_group_symop_operation_xyz
'x,y,z'
loop_
_atom_site_label
_atom_site_fract_x
_atom_site_fract_y
_atom_site_fract_z
Li1 0.1403 0.1403 0.0000
Li2 0.8597 0.8597 0.0000
Ac1 0.5000 0.5000 0.0000
Rh1 0.2500 0.7500 0.5000
Rh2 0.7500 0.2500 0.5000

=====

Run ii
# Li2AcRh2, relaxed, DFT PBE-GGA
# volume = 91.5 Å³ per cell
data_Li2AcRh2
_space_group_name_H-M_alt 'P 1'
_space_group_IT_number 1
_cell_length_a 4.0348
_cell_length_b 4.0348
_cell_length_c 5.9722
_cell_angle_alpha 90.00
_cell_angle_beta 90.00
_cell_angle_gamma 109.72
loop_
_space_group_symop_operation_xyz
'x,y,z'
loop_
_atom_site_label
_atom_site_fract_x
_atom_site_fract_y
_atom_site_fract_z
Li1 0.1805 0.8195 0.0000
Li2 0.8195 0.1805 0.0000
Ac1 0.0000 0.0000 0.5000
Rh1 0.5000 0.5000 0.2411
Rh2 0.5000 0.5000 0.7589

=====

Least stable of them? run ii.

=====

Run i
# LiAcRu, relaxed, DFT PBE-GGA
# volume = 169.7 Å³ per cell
data_LiAcRu
_space_group_name_H-M_alt 'P 1'
_space_group_IT_number 1
_cell_length_a 8.9703
_cell_length_b 8.9703
_cell_length_c 4.4004
_cell_angle_alpha 90.00
_cell_angle_beta 90.00
_cell_angle_gamma 151.37
loop_
_space_group_symop_operation_xyz
'x,y,z'
loop_
_atom_site_label
_atom_site_fract_x
_atom_site_fract_y
_atom_site_fract_z
Li1 0.1981 0.8019 0.7500
Li2 0.8019 0.1981 0.2500
Ac1 0.4038 0.5962 0.7500
Ac2 0.5962 0.4038 0.2500
Ru1 0.0275 0.9725 0.7500
Ru2 0.9725 0.0275 0.2500

=====

Run ii
# LiAcRu, relaxed, DFT PBE-GGA
# volume = 144.2 Å³ per cell
data_LiAcRu
_space_group_name_H-M_alt 'P 1'
_space_group_IT_number 1
_cell_length_a 4.4829
_cell_length_b 5.8498
_cell_length_c 6.4500
_cell_angle_alpha 73.12
_cell_angle_beta 69.78
_cell_angle_gamma 67.56
loop_
_space_group_symop_operation_xyz
'x,y,z'
loop_
_atom_site_label
_atom_site_fract_x
_atom_site_fract_y
_atom_site_fract_z
Li1 0.2184 0.1504 0.4120
Li2 0.7816 0.8496 0.5880
Ac1 0.4223 0.3358 0.8187
Ac2 0.5777 0.6642 0.1813
Ru1 0.1415 0.8597 0.8591
Ru2 0.8585 0.1403 0.1409

=====

Least stable of them? run ii.

=====

Run i
# LiAcRu, relaxed, DFT PBE-GGA
# volume = 278.9 Å³ per cell
data_LiAcRu
_space_group_name_H-M_alt 'P 1'
_space_group_IT_number 1
_cell_length_a 4.2356
_cell_length_b 9.3237
_cell_length_c 7.0635
_cell_angle_alpha 90.00
_cell_angle_beta 90.00
_cell_angle_gamma 90.00
loop_
_space_group_symop_operation_xyz
'x,y,z'
loop_
_atom_site_label
_atom_site_fract_x
_atom_site_fract_y
_atom_site_fract_z
Li1 0.0000 0.1811 0.0000
Li2 0.0000 0.3166 0.6351
Li3 0.0000 0.6834 0.1351
Li4 0.0000 0.8189 0.5000
Ac1 0.5000 0.0653 0.6597
Ac2 0.5000 0.3884 0.2411
Ac3 0.5000 0.6116 0.7411
Ac4 0.5000 0.9347 0.1597
Ru1 0.0000 0.1050 0.3721
Ru2 0.0000 0.4641 0.9463
Ru3 0.0000 0.5359 0.4463
Ru4 0.0000 0.8950 0.8721

=====

Run ii
# LiAcRu, relaxed, DFT PBE-GGA
# volume = 70.9 Å³ per cell
data_LiAcRu
_space_group_name_H-M_alt 'P 1'
_space_group_IT_number 1
_cell_length_a 4.6452
_cell_length_b 4.6452
_cell_length_c 4.6452
_cell_angle_alpha 60.00
_cell_angle_beta 60.00
_cell_angle_gamma 60.00
loop_
_space_group_symop_operation_xyz
'x,y,z'
loop_
_atom_site_label
_atom_site_fract_x
_atom_site_fract_y
_atom_site_fract_z
Li1 0.0000 0.0000 0.0000
Ac1 0.5000 0.5000 0.5000
Ru1 0.2500 0.2500 0.2500

=====

Least stable of them? run i.

=====

Run i
# LiAcSeS, relaxed, DFT PBE-GGA
# volume = 199.5 Å³ per cell
data_LiAcSeS
_space_group_name_H-M_alt 'P 1'
_space_group_IT_number 1
_cell_length_a 4.8431
_cell_length_b 4.8431
_cell_length_c 8.5051
_cell_angle_alpha 90.00
_cell_angle_beta 90.00
_cell_angle_gamma 90.00
loop_
_space_group_symop_operation_xyz
'x,y,z'
loop_
_atom_site_label
_atom_site_fract_x
_atom_site_fract_y
_atom_site_fract_z
Li1 0.2500 0.7500 0.0000
Li2 0.7500 0.2500 0.0000
Ac1 0.2500 0.2500 0.3146
Ac2 0.7500 0.7500 0.6854
Se1 0.2500 0.2500 0.8844
Se2 0.7500 0.7500 0.1156
S1 0.2500 0.7500 0.5000
S2 0.7500 0.2500 0.5000

=====

Run ii
# LiAcSeS, relaxed, DFT PBE-GGA
# volume = 94.7 Å³ per cell
data_LiAcSeS
_space_group_name_H-M_alt 'P 1'
_space_group_IT_number 1
_cell_length_a 5.1161
_cell_length_b 5.1161
_cell_length_c 5.1161
_cell_angle_alpha 60.00
_cell_angle_beta 60.00
_cell_angle_gamma 60.00
loop_
_space_group_symop_operation_xyz
'x,y,z'
loop_
_atom_site_label
_atom_site_fract_x
_atom_site_fract_y
_atom_site_fract_z
Li1 0.0000 0.0000 0.0000
Ac1 0.5000 0.5000 0.5000
Se1 0.2500 0.2500 0.2500
S1 0.7500 0.7500 0.7500

=====

Least stable of them? run ii.

=====

Run i
# LiAcSb, relaxed, DFT PBE-GGA
# volume = 88.2 Å³ per cell
data_LiAcSb
_space_group_name_H-M_alt 'P 1'
_space_group_IT_number 1
_cell_length_a 6.3807
_cell_length_b 6.3807
_cell_length_c 6.3807
_cell_angle_alpha 144.25
_cell_angle_beta 144.25
_cell_angle_gamma 51.46
loop_
_space_group_symop_operation_xyz
'x,y,z'
loop_
_atom_site_label
_atom_site_fract_x
_atom_site_fract_y
_atom_site_fract_z
Li1 0.0000 0.0000 0.0000
Ac1 0.2892 0.2892 0.0000
Sb1 0.5919 0.5919 0.0000

=====

Run ii
# LiAcSb, relaxed, DFT PBE-GGA
# volume = 104.1 Å³ per cell
data_LiAcSb
_space_group_name_H-M_alt 'P 1'
_space_group_IT_number 1
_cell_length_a 5.2810
_cell_length_b 5.2810
_cell_length_c 5.2810
_cell_angle_alpha 60.00
_cell_angle_beta 60.00
_cell_angle_gamma 60.00
loop_
_space_group_symop_operation_xyz
'x,y,z'
loop_
_atom_site_label
_atom_site_fract_x
_atom_site_fract_y
_atom_site_fract_z
Li1 0.0000 0.0000 0.0000
Ac1 0.5000 0.5000 0.5000
Sb1 0.7500 0.7500 0.7500

=====

Run iii
# LiAcSb, relaxed, DFT PBE-GGA
# volume = 86.0 Å³ per cell
data_LiAcSb
_space_group_name_H-M_alt 'P 1'
_space_group_IT_number 1
_cell_length_a 4.6562
_cell_length_b 4.6562
_cell_length_c 4.5784
_cell_angle_alpha 90.00
_cell_angle_beta 90.00
_cell_angle_gamma 120.00
loop_
_space_group_symop_operation_xyz
'x,y,z'
loop_
_atom_site_label
_atom_site_fract_x
_atom_site_fract_y
_atom_site_fract_z
Li1 0.0000 0.0000 0.0000
Ac1 0.6667 0.3333 0.5000
Sb1 0.3333 0.6667 0.0000

=====

Least stable of them? run i.

=====

Run i
# LiAcSc2, relaxed, DFT PBE-GGA
# volume = 121.6 Å³ per cell
data_LiAcSc2
_space_group_name_H-M_alt 'P 1'
_space_group_IT_number 1
_cell_length_a 11.8673
_cell_length_b 11.8673
_cell_length_c 11.8673
_cell_angle_alpha 16.79
_cell_angle_beta 16.79
_cell_angle_gamma 16.79
loop_
_space_group_symop_operation_xyz
'x,y,z'
loop_
_atom_site_label
_atom_site_fract_x
_atom_site_fract_y
_atom_site_fract_z
Li1 0.0000 0.0000 0.0000
Ac1 0.5000 0.5000 0.5000
Sc1 0.0869 0.0869 0.0869
Sc2 0.9131 0.9131 0.9131

=====

Run ii
# LiAcSc2, relaxed, DFT PBE-GGA
# volume = 113.4 Å³ per cell
data_LiAcSc2
_space_group_name_H-M_alt 'P 1'
_space_group_IT_number 1
_cell_length_a 5.5087
_cell_length_b 5.5087
_cell_length_c 3.7371
_cell_angle_alpha 90.00
_cell_angle_beta 90.00
_cell_angle_gamma 90.00
loop_
_space_group_symop_operation_xyz
'x,y,z'
loop_
_atom_site_label
_atom_site_fract_x
_atom_site_fract_y
_atom_site_fract_z
Li1 0.0000 0.0000 0.0000
Ac1 0.5000 0.5000 0.0000
Sc1 0.0000 0.5000 0.5000
Sc2 0.5000 0.0000 0.5000

=====

Least stable of them? run i.

=====

Run i
# LiAcSc, relaxed, DFT PBE-GGA
# volume = 175.1 Å³ per cell
data_LiAcSc
_space_group_name_H-M_alt 'P 1'
_space_group_IT_number 1
_cell_length_a 5.5388
_cell_length_b 3.6666
_cell_length_c 9.0425
_cell_angle_alpha 90.00
_cell_angle_beta 107.57
_cell_angle_gamma 90.00
loop_
_space_group_symop_operation_xyz
'x,y,z'
loop_
_atom_site_label
_atom_site_fract_x
_atom_site_fract_y
_atom_site_fract_z
Li1 0.0683 0.2500 0.1293
Li2 0.9317 0.7500 0.8707
Ac1 0.3979 0.2500 0.8027
Ac2 0.6021 0.7500 0.1973
Sc1 0.2267 0.7500 0.4516
Sc2 0.7733 0.2500 0.5484

=====

Run ii
# LiAcSc, relaxed, DFT PBE-GGA
# volume = 93.3 Å³ per cell
data_LiAcSc
_space_group_name_H-M_alt 'P 1'
_space_group_IT_number 1
_cell_length_a 3.6226
_cell_length_b 3.6226
_cell_length_c 8.2092
_cell_angle_alpha 90.00
_cell_angle_beta 90.00
_cell_angle_gamma 120.00
loop_
_space_group_symop_operation_xyz
'x,y,z'
loop_
_atom_site_label
_atom_site_fract_x
_atom_site_fract_y
_atom_site_fract_z
Li1 0.0000 0.0000 0.0000
Ac1 0.3333 0.6667 0.6424
Sc1 0.6667 0.3333 0.3003

=====

Least stable of them? run ii.

=====

Run i
# LiAc3Se4, relaxed, DFT PBE-GGA
# volume = 244.1 Å³ per cell
data_LiAc3Se4
_space_group_name_H-M_alt 'P 1'
_space_group_IT_number 1
_cell_length_a 6.2498
_cell_length_b 6.2498
_cell_length_c 6.2498
_cell_angle_alpha 90.00
_cell_angle_beta 90.00
_cell_angle_gamma 90.00
loop_
_space_group_symop_operation_xyz
'x,y,z'
loop_
_atom_site_label
_atom_site_fract_x
_atom_site_fract_y
_atom_site_fract_z
Li1 0.0000 0.0000 0.0000
Ac1 0.0000 0.5000 0.5000
Ac2 0.5000 0.0000 0.5000
Ac3 0.5000 0.5000 0.0000
Se1 0.0000 0.0000 0.5000
Se2 0.0000 0.5000 0.0000
Se3 0.5000 0.0000 0.0000
Se4 0.5000 0.5000 0.5000

=====

Run ii
# LiAc3Se4, relaxed, DFT PBE-GGA
# volume = 241.6 Å³ per cell
data_LiAc3Se4
_space_group_name_H-M_alt 'P 1'
_space_group_IT_number 1
_cell_length_a 7.6129
_cell_length_b 7.6129
_cell_length_c 4.4229
_cell_angle_alpha 90.00
_cell_angle_beta 90.00
_cell_angle_gamma 109.53
loop_
_space_group_symop_operation_xyz
'x,y,z'
loop_
_atom_site_label
_atom_site_fract_x
_atom_site_fract_y
_atom_site_fract_z
Li1 0.0000 0.0000 0.0000
Ac1 0.0000 0.5000 0.5000
Ac2 0.5000 0.0000 0.5000
Ac3 0.5000 0.5000 0.0000
Se1 0.2385 0.2385 0.5000
Se2 0.2409 0.7591 0.0000
Se3 0.7591 0.2409 0.0000
Se4 0.7615 0.7615 0.5000

=====

Least stable of them? run ii.